(1)
A plane-wave DFT calculation with GGA-PBE was carried out for a relaxed structure of Mn2FeTc.

- symmetry = R-3m (166)
- total magnetic moment (μB/f.u.) = 0.92
- total DFT energy (no corrections) (eV/atom) = -9.11

Cell: 8.453 8.453 8.453 Å, 17.54 17.54 17.54°
Each line ends with the local moment (μB).
Element x y z (fractional)
Tc  0.250  0.250  0.250  0.13
Mn  0.497  0.497  0.497  -0.44
Mn  0.003  0.003  0.003  -0.44
Fe  0.750  0.750  0.750  1.70

***

(2)
A plane-wave DFT calculation with GGA-PBE was carried out for a relaxed structure of EuHg2As.

- symmetry = P4/mmm (123)
- total magnetic moment (μB/f.u.) = 6.67
- total DFT energy (no corrections) (eV/atom) = -4.38

Cell: 5.284 4.341 4.341 Å, 90.00 90.00 90.00°
Each line ends with the local moment (μB).
Element x y z (fractional)
Eu  0.500  0.000  0.000  6.71
As  0.500  0.500  0.500  -0.09
Hg  0.000  0.000  0.500  -0.01
Hg  0.000  0.500  0.000  -0.01

***

(3)
A plane-wave DFT calculation with GGA-PBE was carried out for a relaxed structure of VCrGe2.

- symmetry = P4/mmm (123)
- ΔE to the lowest computed polymorph (eV/atom) = 0.151
- total magnetic moment (μB/f.u.) = 1.14
- total DFT energy (no corrections) (eV/atom) = -6.91

Cell: 2.899 2.899 6.731 Å, 90.00 90.00 90.00°
Each line ends with the local moment (μB).
Element x y z (fractional)
Cr  0.500  0.500  0.000  2.01
Ge  0.000  0.000  0.757  -0.04
Ge  0.000  0.000  0.243  -0.04
V  0.500  0.500  0.500  -0.81

***

(4)
A plane-wave DFT calculation with GGA-PBE was carried out for a relaxed structure of Sr2Tc2As.

- symmetry = P4/mbm (127)
- ΔE to the lowest computed polymorph (eV/atom) = 0.145
- total magnetic moment (μB/f.u.) = 0.00
- total DFT energy (no corrections) (eV/atom) = -5.60

Cell: 6.704 6.704 5.116 Å, 90.00 90.00 90.00°
Element x y z (fractional)
Tc  0.376  0.876  0.000
Tc  0.124  0.376  0.000
Tc  0.876  0.624  0.000
Tc  0.624  0.124  0.000
Sr  0.822  0.322  0.500
Sr  0.178  0.678  0.500
Sr  0.322  0.178  0.500
Sr  0.678  0.822  0.500
As  0.500  0.500  0.000
As  0.000  0.000  0.000

***

(5)
A plane-wave DFT calculation with GGA-PBE was carried out for a relaxed structure of SrSbAs.

- symmetry = P1 (1)
- ΔE to the lowest computed polymorph (eV/atom) = 0.030
- total magnetic moment (μB/f.u.) = 0.00
- E_form (uncorrected) (eV/atom) = -0.71
- total DFT energy (no corrections) (eV/atom) = -4.19

Cell: 4.511 4.603 9.130 Å, 93.28 90.01 90.00°
Element x y z (fractional)
Sb  0.497  0.801  0.532
Sb  0.997  0.383  0.454
Sr  0.505  0.867  0.161
Sr  0.004  0.338  0.825
As  0.005  0.371  0.168
As  0.504  0.835  0.818

***

(6)
A plane-wave DFT calculation with GGA-PBE was carried out for a relaxed structure of CaIn.

- symmetry = P6_3/mmc (194)
- total magnetic moment (μB/f.u.) = 0.01
- total DFT energy (no corrections) (eV/atom) = -2.63

Cell: 3.718 3.718 10.422 Å, 90.00 90.00 120.00°
Element x y z (fractional)
Ca  0.000  0.000  0.000
Ca  0.000  0.000  0.500
In  0.667  0.333  0.750
In  0.333  0.667  0.250